1.
Density functional theory data (PBE) for a geometry-optimized Er6Sb2As3Se structure.

abc: 18.181 4.158 8.369
angles: 90.00 103.63 90.00
Space group C2/m (No. 12)
One atom of each set of equivalent atoms:
Er (0.004, 0.000, 0.244) (multiplicity 4)
Er (0.162, 0.500, 0.093) (multiplicity 4)
Er (0.168, 0.500, 0.572) (multiplicity 4)
Sb (0.166, 0.000, 0.832) (multiplicity 4)
As (0.000, 0.500, 0.000) (multiplicity 2)
As (0.166, 0.000, 0.335) (multiplicity 4)
Se (0.000, 0.500, 0.500) (multiplicity 2)

Output
Mass density ... 8.38 g/cm³
ΔE_f (raw) ... -17.13 eV/f.u.
Crystal system ... monoclinic

=====

2.
Density functional theory data (PBE) for a geometry-optimized Y3PbO structure.

abc: 9.866 9.021 6.565
angles: 90.00 90.00 90.00
Space group Cmcm (No. 63)
One atom of each set of equivalent atoms:
Y (0.000, 0.000, 0.000) (multiplicity 4)
Y (0.184, 0.338, 0.250) (multiplicity 8)
Pb (0.000, 0.291, 0.750) (multiplicity 4)
O (0.000, 0.449, 0.250) (multiplicity 4)

Output
Mass density ... 5.57 g/cm³
ΔE_f (raw) ... -4.19 eV/f.u.
Crystal system ... orthorhombic

=====

| no. | calculated total energy (eV per atom) |
| --- | --- |
| 1 | -5.85 |
| 2 | -6.45 |